# PBE-GGA Tb2Nd4Y5, optimized geometry
data_Tb2Nd4Y5
_chemical_formula_sum 'Tb2 Nd4 Y5'
_cell_length_a 12.138
_cell_length_b 12.138
_cell_length_c 9.007
_cell_angle_alpha 98.78
_cell_angle_beta 98.78
_cell_angle_gamma 16.72
_space_group_name_H-M_alt 'P 1'
_space_group_IT_number 1
loop_
_space_group_symop_operation_xyz
'x,y,z'
loop_
_atom_site_label
_atom_site_type_symbol
_atom_site_fract_x
_atom_site_fract_y
_atom_site_fract_z
Tb1 Tb 0.101 0.101 0.200
Tb2 Tb 0.899 0.899 0.800
Nd1 Nd 0.027 0.027 0.688
Nd2 Nd 0.370 0.370 0.463
Nd3 Nd 0.630 0.630 0.537
Nd4 Nd 0.973 0.973 0.312
Y1 Y 0.176 0.176 0.902
Y2 Y 0.232 0.232 0.324
Y3 Y 0.500 0.500 0.000
Y4 Y 0.768 0.768 0.676
Y5 Y 0.824 0.824 0.098
# size of the total moment	0.00	μB per cell
# SG	C2/m (12)
# density	5.9	g/cm3
# formation energy from the elements	0.216	eV per atom



# PBE-GGA Tb12NdY6, optimized geometry
data_Tb12NdY6
_chemical_formula_sum 'Tb12 Nd1 Y6'
_cell_length_a 8.728
_cell_length_b 8.728
_cell_length_c 8.728
_cell_angle_alpha 98.59
_cell_angle_beta 98.59
_cell_angle_gamma 98.59
_space_group_name_H-M_alt 'P 1'
_space_group_IT_number 1
loop_
_space_group_symop_operation_xyz
'x,y,z'
loop_
_atom_site_label
_atom_site_type_symbol
_atom_site_fract_x
_atom_site_fract_y
_atom_site_fract_z
Tb1 Tb 0.000 0.257 0.743
Tb2 Tb 0.000 0.743 0.257
Tb3 Tb 0.144 0.144 0.419
Tb4 Tb 0.144 0.419 0.144
Tb5 Tb 0.257 0.000 0.743
Tb6 Tb 0.257 0.743 0.000
Tb7 Tb 0.419 0.144 0.144
Tb8 Tb 0.581 0.856 0.856
Tb9 Tb 0.743 0.000 0.257
Tb10 Tb 0.743 0.257 0.000
Tb11 Tb 0.856 0.581 0.856
Tb12 Tb 0.856 0.856 0.581
Nd1 Nd 0.500 0.500 0.500
Y1 Y 0.158 0.602 0.602
Y2 Y 0.398 0.398 0.842
Y3 Y 0.398 0.842 0.398
Y4 Y 0.602 0.158 0.602
Y5 Y 0.602 0.602 0.158
Y6 Y 0.842 0.398 0.398
# size of the total moment	0.00	μB per cell
# SG	R-3m (166)
# density	6.7	g/cm3
# formation energy from the elements	0.209	eV per atom



# PBE-GGA TbNd5Y3, optimized geometry
data_TbNd5Y3
_chemical_formula_sum 'Tb2 Nd10 Y6'
_cell_length_a 10.580
_cell_length_b 10.580
_cell_length_c 11.740
_cell_angle_alpha 120.40
_cell_angle_beta 120.40
_cell_angle_gamma 34.63
_space_group_name_H-M_alt 'P 1'
_space_group_IT_number 1
loop_
_space_group_symop_operation_xyz
'x,y,z'
loop_
_atom_site_label
_atom_site_type_symbol
_atom_site_fract_x
_atom_site_fract_y
_atom_site_fract_z
Tb1 Tb 0.106 0.894 0.750
Tb2 Tb 0.894 0.106 0.250
Nd1 Nd 0.007 0.634 0.165
Nd2 Nd 0.183 0.538 0.842
Nd3 Nd 0.366 0.993 0.335
Nd4 Nd 0.408 0.592 0.250
Nd5 Nd 0.462 0.817 0.658
Nd6 Nd 0.538 0.183 0.342
Nd7 Nd 0.592 0.408 0.750
Nd8 Nd 0.634 0.007 0.665
Nd9 Nd 0.817 0.462 0.158
Nd10 Nd 0.993 0.366 0.835
Y1 Y 0.000 0.000 0.000
Y2 Y 0.000 0.000 0.500
Y3 Y 0.048 0.600 0.471
Y4 Y 0.400 0.952 0.029
Y5 Y 0.600 0.048 0.971
Y6 Y 0.952 0.400 0.529
# size of the total moment	0.00	μB per cell
# SG	C2/c (15)
# density	6.0	g/cm3
# formation energy from the elements	0.273	eV per atom



# PBE-GGA TbNd2Y3, optimized geometry
data_TbNd2Y3
_chemical_formula_sum 'Tb2 Nd4 Y6'
_cell_length_a 8.944
_cell_length_b 8.944
_cell_length_c 6.061
_cell_angle_alpha 109.59
_cell_angle_beta 109.59
_cell_angle_gamma 66.35
_space_group_name_H-M_alt 'P 1'
_space_group_IT_number 1
loop_
_space_group_symop_operation_xyz
'x,y,z'
loop_
_atom_site_label
_atom_site_type_symbol
_atom_site_fract_x
_atom_site_fract_y
_atom_site_fract_z
Tb1 Tb 0.000 0.000 0.000
Tb2 Tb 0.000 0.000 0.500
Nd1 Nd 0.147 0.585 0.614
Nd2 Nd 0.415 0.853 0.886
Nd3 Nd 0.585 0.147 0.114
Nd4 Nd 0.853 0.415 0.386
Y1 Y 0.149 0.316 0.977
Y2 Y 0.316 0.149 0.477
Y3 Y 0.390 0.610 0.250
Y4 Y 0.610 0.390 0.750
Y5 Y 0.684 0.851 0.523
Y6 Y 0.851 0.684 0.023
# size of the total moment	0.00	μB per cell
# SG	C2/c (15)
# density	5.8	g/cm3
# formation energy from the elements	0.151	eV per atom



# PBE-GGA Tb4Nd2Y, optimized geometry
data_Tb4Nd2Y
_chemical_formula_sum 'Tb4 Nd2 Y1'
_cell_length_a 20.633
_cell_length_b 20.633
_cell_length_c 20.633
_cell_angle_alpha 10.00
_cell_angle_beta 10.00
_cell_angle_gamma 10.00
_space_group_name_H-M_alt 'P 1'
_space_group_IT_number 1
loop_
_space_group_symop_operation_xyz
'x,y,z'
loop_
_atom_site_label
_atom_site_type_symbol
_atom_site_fract_x
_atom_site_fract_y
_atom_site_fract_z
Tb1 Tb 0.143 0.143 0.143
Tb2 Tb 0.286 0.286 0.286
Tb3 Tb 0.714 0.714 0.714
Tb4 Tb 0.857 0.857 0.857
Nd1 Nd 0.429 0.429 0.429
Nd2 Nd 0.571 0.571 0.571
Y1 Y 0.000 0.000 0.000
# size of the total moment	0.00	μB per cell
# SG	R-3m (166)
# density	7.3	g/cm3
# formation energy from the elements	0.016	eV per atom



# PBE-GGA Tb12Nd7Y, optimized geometry
data_Tb12Nd7Y
_chemical_formula_sum 'Tb12 Nd7 Y1'
_cell_length_a 8.835
_cell_length_b 8.835
_cell_length_c 8.835
_cell_angle_alpha 86.07
_cell_angle_beta 86.07
_cell_angle_gamma 86.07
_space_group_name_H-M_alt 'P 1'
_space_group_IT_number 1
loop_
_space_group_symop_operation_xyz
'x,y,z'
loop_
_atom_site_label
_atom_site_type_symbol
_atom_site_fract_x
_atom_site_fract_y
_atom_site_fract_z
Tb1 Tb 0.004 0.366 0.883
Tb2 Tb 0.117 0.996 0.634
Tb3 Tb 0.226 0.752 0.353
Tb4 Tb 0.248 0.647 0.774
Tb5 Tb 0.353 0.226 0.752
Tb6 Tb 0.366 0.883 0.004
Tb7 Tb 0.634 0.117 0.996
Tb8 Tb 0.647 0.774 0.248
Tb9 Tb 0.752 0.353 0.226
Tb10 Tb 0.774 0.248 0.647
Tb11 Tb 0.883 0.004 0.366
Tb12 Tb 0.996 0.634 0.117
Nd1 Nd 0.000 0.000 0.000
Nd2 Nd 0.101 0.345 0.421
Nd3 Nd 0.345 0.421 0.101
Nd4 Nd 0.421 0.101 0.345
Nd5 Nd 0.579 0.899 0.655
Nd6 Nd 0.655 0.579 0.899
Nd7 Nd 0.899 0.655 0.579
Y1 Y 0.500 0.500 0.500
# size of the total moment	0.00	μB per cell
# SG	R-3 (148)
# density	7.3	g/cm3
# formation energy from the elements	0.229	eV per atom



# PBE-GGA TbNd4Y4, optimized geometry
data_TbNd4Y4
_chemical_formula_sum 'Tb1 Nd4 Y4'
_cell_length_a 8.097
_cell_length_b 8.097
_cell_length_c 8.097
_cell_angle_alpha 95.72
_cell_angle_beta 95.72
_cell_angle_gamma 143.18
_space_group_name_H-M_alt 'P 1'
_space_group_IT_number 1
loop_
_space_group_symop_operation_xyz
'x,y,z'
loop_
_atom_site_label
_atom_site_type_symbol
_atom_site_fract_x
_atom_site_fract_y
_atom_site_fract_z
Tb1 Tb 0.000 0.000 0.000
Nd1 Nd 0.000 0.332 0.332
Nd2 Nd 0.000 0.668 0.668
Nd3 Nd 0.332 0.000 0.332
Nd4 Nd 0.668 0.000 0.668
Y1 Y 0.334 0.334 0.669
Y2 Y 0.334 0.666 0.000
Y3 Y 0.666 0.334 0.000
Y4 Y 0.666 0.666 0.331
# size of the total moment	0.00	μB per cell
# SG	I4/mmm (139)
# density	6.0	g/cm3
# formation energy from the elements	0.018	eV per atom



# PBE-GGA Tb5Nd2Y3, optimized geometry
data_Tb5Nd2Y3
_chemical_formula_sum 'Tb10 Nd4 Y6'
_cell_length_a 9.616
_cell_length_b 9.616
_cell_length_c 9.467
_cell_angle_alpha 108.12
_cell_angle_beta 108.12
_cell_angle_gamma 112.31
_space_group_name_H-M_alt 'P 1'
_space_group_IT_number 1
loop_
_space_group_symop_operation_xyz
'x,y,z'
loop_
_atom_site_label
_atom_site_type_symbol
_atom_site_fract_x
_atom_site_fract_y
_atom_site_fract_z
Tb1 Tb 0.029 0.971 0.750
Tb2 Tb 0.108 0.351 0.714
Tb3 Tb 0.226 0.774 0.750
Tb4 Tb 0.270 0.730 0.250
Tb5 Tb 0.351 0.108 0.214
Tb6 Tb 0.649 0.892 0.786
Tb7 Tb 0.730 0.270 0.750
Tb8 Tb 0.774 0.226 0.250
Tb9 Tb 0.892 0.649 0.286
Tb10 Tb 0.971 0.029 0.250
Nd1 Nd 0.229 0.486 0.451
Nd2 Nd 0.486 0.229 0.951
Nd3 Nd 0.514 0.771 0.049
Nd4 Nd 0.771 0.514 0.549
Y1 Y 0.036 0.280 0.046
Y2 Y 0.280 0.036 0.546
Y3 Y 0.480 0.520 0.250
Y4 Y 0.520 0.480 0.750
Y5 Y 0.720 0.964 0.454
Y6 Y 0.964 0.720 0.954
# size of the total moment	0.00	μB per cell
# SG	C2/c (15)
# density	6.7	g/cm3
# formation energy from the elements	0.195	eV per atom